# GGA-PBEsol Na2GaCuHg, relaxed
# * formation enthalpy at 0 K: 296 meV/atom
# * E_tot: -1.9117 eV/atom
# * crystal system: tetragonal
data_Na2GaCuHg
_symmetry_space_group_name_H-M 'P 4/m m m'
_symmetry_Int_Tables_number 123
_symmetry_space_group_name_Hall '-P 4 2'
_cell_length_a 5.540
_cell_length_b 5.540
_cell_length_c 4.475
_cell_angle_alpha 90.00
_cell_angle_beta 90.00
_cell_angle_gamma 90.00
loop_
_atom_site_label
_atom_site_fract_x
_atom_site_fract_y
_atom_site_fract_z
Na1 0.000 0.500 0.000
Ga1 0.000 0.000 0.000
Cu1 0.000 0.000 0.500
Hg1 0.500 0.500 0.500

# GGA-PBEsol RbGa2CuHg, relaxed
# * formation enthalpy at 0 K: 82 meV/atom
# * E_tot: -2.4389 eV/atom
# * crystal system: tetragonal
data_RbGa2CuHg
_symmetry_space_group_name_H-M 'P 4/m m m'
_symmetry_Int_Tables_number 123
_symmetry_space_group_name_Hall '-P 4 2'
_cell_length_a 4.795
_cell_length_b 4.795
_cell_length_c 5.217
_cell_angle_alpha 90.00
_cell_angle_beta 90.00
_cell_angle_gamma 90.00
loop_
_atom_site_label
_atom_site_fract_x
_atom_site_fract_y
_atom_site_fract_z
Rb1 0.000 0.000 0.000
Ga1 0.000 0.500 0.500
Cu1 0.500 0.500 0.500
Hg1 0.500 0.500 0.000

# GGA-PBEsol GaCuHg2Se, relaxed
# * E_tot: -2.0585 eV/atom
# * crystal system: tetragonal
data_GaCuHg2Se
_symmetry_space_group_name_H-M 'P 4/m m m'
_symmetry_Int_Tables_number 123
_symmetry_space_group_name_Hall '-P 4 2'
_cell_length_a 5.509
_cell_length_b 5.509
_cell_length_c 4.362
_cell_angle_alpha 90.00
_cell_angle_beta 90.00
_cell_angle_gamma 90.00
loop_
_atom_site_label
_atom_site_fract_x
_atom_site_fract_y
_atom_site_fract_z
Ga1 0.000 0.000 0.000
Cu1 0.500 0.500 0.000
Hg1 0.000 0.500 0.500
Se1 0.500 0.500 0.500

# GGA-PBEsol Ho2Ga3Cu, relaxed
# * formation enthalpy at 0 K: -638 meV/atom
# * E_tot: -4.6806 eV/atom
# * crystal system: trigonal
data_Ho2Ga3Cu
_symmetry_space_group_name_H-M 'P 3 m 1'
_symmetry_Int_Tables_number 156
_symmetry_space_group_name_Hall 'P 3 -2"'
_cell_length_a 4.2978
_cell_length_b 4.2978
_cell_length_c 7.0383
_cell_angle_alpha 90.00
_cell_angle_beta 90.00
_cell_angle_gamma 120.00
loop_
_atom_site_label
_atom_site_fract_x
_atom_site_fract_y
_atom_site_fract_z
Ho1 0.0000 0.0000 0.0000
Ho2 0.0000 0.0000 0.4712
Ga1 0.3333 0.6667 0.7812
Ga2 0.6667 0.3333 0.2526
Ga3 0.6667 0.3333 0.6896
Cu1 0.3333 0.6667 0.1982

# GGA-PBEsol LaGa2CuI, relaxed
# * E_tot: -3.0887 eV/atom
# * crystal system: tetragonal
data_LaGa2CuI
_symmetry_space_group_name_H-M 'P 4/m m m'
_symmetry_Int_Tables_number 123
_symmetry_space_group_name_Hall '-P 4 2'
_cell_length_a 5.545
_cell_length_b 5.545
_cell_length_c 4.730
_cell_angle_alpha 90.00
_cell_angle_beta 90.00
_cell_angle_gamma 90.00
loop_
_atom_site_label
_atom_site_fract_x
_atom_site_fract_y
_atom_site_fract_z
La1 0.000 0.000 0.000
Ga1 0.000 0.500 0.500
Cu1 0.500 0.500 0.000
I1 0.500 0.500 0.500

# GGA-PBEsol GaCuMoI2, relaxed
# * E_tot: -3.8371 eV/atom
# * crystal system: tetragonal
data_GaCuMoI2
_symmetry_space_group_name_H-M 'P 4/m m m'
_symmetry_Int_Tables_number 123
_symmetry_space_group_name_Hall '-P 4 2'
_cell_length_a 5.372
_cell_length_b 5.372
_cell_length_c 4.777
_cell_angle_alpha 90.00
_cell_angle_beta 90.00
_cell_angle_gamma 90.00
loop_
_atom_site_label
_atom_site_fract_x
_atom_site_fract_y
_atom_site_fract_z
Ga1 0.000 0.000 0.000
Cu1 0.500 0.500 0.000
Mo1 0.500 0.500 0.500
I1 0.000 0.500 0.500

# GGA-PBEsol GaCuI2N, relaxed
# * E_tot: -3.2408 eV/atom
# * crystal system: tetragonal
data_GaCuI2N
_symmetry_space_group_name_H-M 'P 4/m m m'
_symmetry_Int_Tables_number 123
_symmetry_space_group_name_Hall '-P 4 2'
_cell_length_a 5.681
_cell_length_b 5.681
_cell_length_c 3.560
_cell_angle_alpha 90.00
_cell_angle_beta 90.00
_cell_angle_gamma 90.00
loop_
_atom_site_label
_atom_site_fract_x
_atom_site_fract_y
_atom_site_fract_z
Ga1 0.000 0.000 0.000
Cu1 0.500 0.500 0.500
I1 0.000 0.500 0.000
N1 0.000 0.000 0.500

# GGA-PBEsol ScGaCu2I, relaxed
# * E_tot: -3.4156 eV/atom
# * crystal system: tetragonal
data_ScGaCu2I
_symmetry_space_group_name_H-M 'P 4/m m m'
_symmetry_Int_Tables_number 123
_symmetry_space_group_name_Hall '-P 4 2'
_cell_length_a 4.929
_cell_length_b 4.929
_cell_length_c 5.445
_cell_angle_alpha 90.00
_cell_angle_beta 90.00
_cell_angle_gamma 90.00
loop_
_atom_site_label
_atom_site_fract_x
_atom_site_fract_y
_atom_site_fract_z
Sc1 0.000 0.000 0.000
Ga1 0.500 0.500 0.500
Cu1 0.000 0.500 0.000
I1 0.000 0.000 0.500

# GGA-PBEsol GaCuTe2I, relaxed
# * E_tot: -3.0534 eV/atom
# * crystal system: tetragonal
data_GaCuTe2I
_symmetry_space_group_name_H-M 'P 4/m m m'
_symmetry_Int_Tables_number 123
_symmetry_space_group_name_Hall '-P 4 2'
_cell_length_a 5.089
_cell_length_b 5.089
_cell_length_c 5.403
_cell_angle_alpha 90.00
_cell_angle_beta 90.00
_cell_angle_gamma 90.00
loop_
_atom_site_label
_atom_site_fract_x
_atom_site_fract_y
_atom_site_fract_z
Ga1 0.000 0.000 0.000
Cu1 0.500 0.500 0.500
Te1 0.000 0.500 0.500
I1 0.500 0.500 0.000

# GGA-PBEsol In3GaCu, relaxed
# * formation enthalpy at 0 K: 670 meV/atom
# * E_tot: -2.6542 eV/atom
# * crystal system: cubic
data_In3GaCu
_symmetry_space_group_name_H-M 'P m -3 m'
_symmetry_Int_Tables_number 221
_symmetry_space_group_name_Hall '-P 4 2 3'
_cell_length_a 5.192
_cell_length_b 5.192
_cell_length_c 5.192
_cell_angle_alpha 90.00
_cell_angle_beta 90.00
_cell_angle_gamma 90.00
loop_
_atom_site_label
_atom_site_fract_x
_atom_site_fract_y
_atom_site_fract_z
In1 0.000 0.000 0.500
Ga1 0.000 0.000 0.000
Cu1 0.500 0.500 0.500

# GGA-PBEsol InGaCu2Pd, relaxed
# * formation enthalpy at 0 K: 426 meV/atom
# * E_tot: -3.7637 eV/atom
# * crystal system: tetragonal
data_InGaCu2Pd
_symmetry_space_group_name_H-M 'P 4/m m m'
_symmetry_Int_Tables_number 123
_symmetry_space_group_name_Hall '-P 4 2'
_cell_length_a 4.707
_cell_length_b 4.707
_cell_length_c 4.582
_cell_angle_alpha 90.00
_cell_angle_beta 90.00
_cell_angle_gamma 90.00
loop_
_atom_site_label
_atom_site_fract_x
_atom_site_fract_y
_atom_site_fract_z
In1 0.000 0.000 0.000
Ga1 0.500 0.500 0.000
Cu1 0.000 0.500 0.500
Pd1 0.500 0.500 0.500

# GGA-PBEsol InGaCu2Se4, relaxed
# * E_tot: -4.2286 eV/atom
# * crystal system: tetragonal
data_InGaCu2Se4
_symmetry_space_group_name_H-M 'I -4'
_symmetry_Int_Tables_number 82
_symmetry_space_group_name_Hall 'I -4'
_cell_length_a 5.662
_cell_length_b 5.662
_cell_length_c 11.354
_cell_angle_alpha 90.00
_cell_angle_beta 90.00
_cell_angle_gamma 90.00
loop_
_atom_site_label
_atom_site_fract_x
_atom_site_fract_y
_atom_site_fract_z
In1 0.000 0.000 0.000
Ga1 0.000 0.500 0.250
Cu1 0.000 0.000 0.500
Cu2 0.000 0.500 0.750
Se1 0.229 0.764 0.631